Entry 1:
Entry from the Open Quantum Materials Database: a relaxed structure of Er2CoTe6 (PBE).

Unit cell a=8.315 b=8.315 c=3.889 alpha=90.00 beta=90.00 gamma=120.00
Last column: magnetic moment on the atom in μB.
Sites, in units of the cell vectors:
Er 0.333 0.667 0.500  0.01
Er 0.667 0.333 0.500  0.01
Co 0.000 0.000 0.000  0.33
Te 0.000 0.220 0.500  0.00
Te 0.000 0.551 0.000  0.00
Te 0.449 0.449 0.000  0.01
Te 0.780 0.780 0.500  0.00
Te 0.551 0.000 0.000  0.00
Te 0.220 0.000 0.500  0.00

E_tot	-40.96	eV for the cell shown
crystal system	hexagonal
space group	P-62m, No. 189

---

Entry 2:
Entry from the Open Quantum Materials Database: a relaxed structure of Er5Co2Te2 (PBE).

Unit cell a=3.907 b=7.707 c=14.896 alpha=90.00 beta=90.00 gamma=75.32
Sites, in units of the cell vectors:
Er 0.259 0.483 0.869
Er 0.962 0.077 0.873
Er 0.741 0.517 0.369
Er 0.259 0.483 0.631
Er 0.741 0.517 0.131
Er 0.394 0.213 0.250
Er 0.962 0.077 0.627
Er 0.606 0.787 0.750
Er 0.038 0.923 0.373
Er 0.038 0.923 0.127
Te 0.618 0.764 0.538
Te 0.382 0.236 0.038
Te 0.618 0.764 0.962
Te 0.382 0.236 0.462
Co 0.412 0.175 0.750
Co 0.588 0.825 0.250
Co 0.181 0.639 0.250
Co 0.819 0.361 0.750

E_tot	-100.13	eV for the cell shown
crystal system	orthorhombic
space group	Cmcm, No. 63

---

Entry 3:
Entry from the Open Quantum Materials Database: a relaxed structure of Er3CoTe5 (PBE).

Unit cell a=8.416 b=8.416 c=4.215 alpha=90.00 beta=90.00 gamma=120.00
Last column: magnetic moment on the atom in μB.
Sites, in units of the cell vectors:
Te 0.706 0.000 0.000  0.07
Te 0.294 0.294 0.000  0.07
Te 0.000 0.706 0.000  0.07
Te 0.667 0.333 0.500  0.11
Te 0.333 0.667 0.500  0.11
Er 0.736 0.736 0.500  0.03
Er 0.000 0.264 0.500  0.02
Er 0.264 0.000 0.500  0.02
Co 0.000 0.000 0.000  1.02

relative energy among the computed polymorphs	0	meV/atom
crystal system	hexagonal
space group	P-62m, No. 189